Record 1
This record from the Alexandria database describes a relaxed structure of Hf2ZnAg. The functional is PBE-GGA.

**Calculated density**: 11.6 g cm⁻³

abc: 3.2608 3.2608 7.1151
angles: 90.00 90.00 90.00
With the nearest neighbours (Å) after each atom.
Fractional positions:
Hf 0.0000 0.0000 0.2375  4 Zn 2.86, 4 Ag 2.97
Hf 0.0000 0.0000 0.7625  4 Zn 2.86, 4 Ag 2.97
Zn 0.5000 0.5000 0.0000  8 Hf 2.86
Ag 0.5000 0.5000 0.5000  8 Hf 2.97, 4 Ag 3.26

Record 2
This record from the Alexandria database describes a relaxed structure of HfZnAg. The functional is PBE-GGA.

**Calculated density**: 10.4 g cm⁻³

abc: 3.1024 23.0756 3.1388
angles: 90.00 90.00 90.00
With the nearest neighbours (Å) after each atom.
Fractional positions:
Hf 0.0000 0.2024 0.2500  4 Zn 2.92, 8 Hf 3.10-3.14
Hf 0.0000 0.7976 0.7500  4 Zn 2.92, 8 Hf 3.10-3.14
Hf 0.5000 0.2976 0.7500  4 Zn 2.92, 8 Hf 3.10-3.14
Hf 0.5000 0.7024 0.2500  4 Zn 2.92, 8 Hf 3.10-3.14
Zn 0.0000 0.3807 0.2500  4 Ag 2.71, 4 Hf 2.92
Zn 0.0000 0.6193 0.7500  4 Ag 2.71, 4 Hf 2.92
Zn 0.5000 0.1193 0.7500  4 Ag 2.71, 4 Hf 2.92
Zn 0.5000 0.8807 0.2500  4 Ag 2.71, 4 Hf 2.92
Ag 0.0000 0.0508 0.2500  4 Zn 2.71, 2 Ag 2.82
Ag 0.0000 0.9492 0.7500  4 Zn 2.71, 2 Ag 2.82
Ag 0.5000 0.4492 0.7500  4 Zn 2.71, 2 Ag 2.82
Ag 0.5000 0.5508 0.2500  4 Zn 2.71, 2 Ag 2.82

Record 3
This record from the Alexandria database describes a relaxed structure of HfZn3Ag. The functional is PBE-GGA.

**Polymorph energy (0 for the lowest one)**: 0.152 eV/atom
**Calculated density**: 9.0 g cm⁻³

abc: 8.6298 8.6298 4.4013
angles: 104.60 104.60 34.35
With the nearest neighbours (Å) after each atom.
Fractional positions:
Hf 0.0802 0.0802 0.3336  4 Zn 2.66-2.85
Hf 0.9198 0.9198 0.6664  4 Zn 2.66-2.85
Zn 0.1935 0.1935 0.9468  2 Zn 2.58, 3 Ag 2.75-2.82, 2 Hf 2.84-2.85
Zn 0.2782 0.2782 0.5305  4 Zn 2.58-2.70, 2 Ag 2.65
Zn 0.4680 0.4680 0.7185  2 Zn 2.42, 3 Ag 2.57-2.69, 2 Hf 2.66
Zn 0.5320 0.5320 0.2815  2 Zn 2.42, 3 Ag 2.57-2.69, 2 Hf 2.66
Zn 0.7218 0.7218 0.4695  4 Zn 2.58-2.70, 2 Ag 2.65
Zn 0.8065 0.8065 0.0532  2 Zn 2.58, 3 Ag 2.75-2.82, 2 Hf 2.84-2.85
Ag 0.3706 0.3706 0.1222  8 Zn 2.57-2.82
Ag 0.6294 0.6294 0.8778  8 Zn 2.57-2.82

Record 4
This record from the Alexandria database describes a relaxed structure of Hf2ZnAg. The functional is PBE-GGA.

**Calculated density**: 10.9 g cm⁻³

abc: 2.9567 2.9567 32.0100
angles: 90.00 90.00 120.00
With the nearest neighbours (Å) after each atom.
Fractional positions:
Hf 0.0000 0.0000 0.0906  1 Ag 2.90, 6 Hf 2.96, 3 Zn 2.97
Hf 0.0000 0.0000 0.9094  1 Ag 2.90, 6 Hf 2.96, 3 Zn 2.97
Hf 0.3333 0.6667 0.5761  1 Ag 2.90, 6 Hf 2.96, 3 Zn 2.97
Hf 0.3333 0.6667 0.7573  1 Ag 2.90, 6 Hf 2.96, 3 Zn 2.97
Hf 0.6667 0.3333 0.2427  1 Ag 2.90, 6 Hf 2.96, 3 Zn 2.97
Hf 0.6667 0.3333 0.4239  1 Ag 2.90, 6 Hf 2.96, 3 Zn 2.97
Zn 0.0000 0.0000 0.5000  6 Zn 2.96, 6 Hf 2.97
Zn 0.3333 0.6667 0.1667  6 Zn 2.96, 6 Hf 2.97
Zn 0.6667 0.3333 0.8333  6 Zn 2.96, 6 Hf 2.97
Ag 0.0000 0.0000 0.0000  2 Hf 2.90, 6 Ag 2.96
Ag 0.3333 0.6667 0.6667  2 Hf 2.90, 6 Ag 2.96
Ag 0.6667 0.3333 0.3333  2 Hf 2.90, 6 Ag 2.96

Record 5
This record from the Alexandria database describes a relaxed structure of HfZn3Ag. The functional is PBE-GGA.

**Polymorph energy (0 for the lowest one)**: 1.035 eV/atom
**Calculated density**: 5.7 g cm⁻³

abc: 5.2052 5.2052 5.2052
angles: 90.00 90.00 90.00
With the nearest neighbours (Å) after each atom.
Fractional positions:
Hf 0.0000 0.0000 0.0000  6 Zn 2.60
Zn 0.0000 0.0000 0.5000  2 Hf 2.60
Zn 0.0000 0.5000 0.0000  2 Hf 2.60
Zn 0.5000 0.0000 0.0000  2 Hf 2.60
Ag 0.5000 0.5000 0.5000  12 Zn 3.68

Record 6
This record from the Alexandria database describes a relaxed structure of HfZnAg. The functional is PBE-GGA.

**Calculated density**: 11.0 g cm⁻³

abc: 4.6177 4.6177 2.8876
angles: 90.00 90.00 120.00
With the nearest neighbours (Å) after each atom.
Fractional positions:
Hf 0.0000 0.0000 0.0000  2 Hf 2.89, 6 Zn 3.03, 6 Ag 3.03
Zn 0.6667 0.3333 0.5000  3 Ag 2.67, 2 Zn 2.89
Ag 0.3333 0.6667 0.5000  3 Zn 2.67, 2 Ag 2.89

Record 7
This record from the Alexandria database describes a relaxed structure of HfZn2Ag. The functional is PBE-GGA.

**Calculated density**: 9.7 g cm⁻³

abc: 5.1986 2.9888 9.3491
angles: 90.00 100.68 90.00
With the nearest neighbours (Å) after each atom.
Fractional positions:
Hf 0.0000 0.0000 0.0000  6 Zn 2.94-2.95, 6 Hf 2.99-3.00
Hf 0.5000 0.5000 0.0000  6 Zn 2.94-2.95, 6 Hf 2.99-3.00
Zn 0.0817 0.5000 0.7397  3 Ag 2.79, 3 Hf 2.95, 6 Zn 2.99-3.00
Zn 0.2555 0.5000 0.2592  3 Ag 2.81-2.82, 3 Hf 2.94-2.95, 6 Zn 2.99-3.00
Zn 0.5817 0.0000 0.7397  3 Ag 2.79, 3 Hf 2.95, 6 Zn 2.99-3.00
Zn 0.7555 0.0000 0.2592  3 Ag 2.81-2.82, 3 Hf 2.94-2.95, 6 Zn 2.99-3.00
Ag 0.1696 0.0000 0.5010  6 Zn 2.79-2.82, 6 Ag 2.99-3.00
Ag 0.6696 0.5000 0.5010  6 Zn 2.79-2.82, 6 Ag 2.99-3.00

Record 8
This record from the Alexandria database describes a relaxed structure of HfZn5Ag4. The functional is PBE-GGA.

**Calculated density**: 9.4 g cm⁻³

abc: 3.1487 3.1487 16.6885
angles: 90.00 90.00 90.00
With the nearest neighbours (Å) after each atom.
Fractional positions:
Hf 0.0000 0.0000 0.0000  8 Zn 2.90, 4 Hf 3.15
Zn 0.5000 0.5000 0.1112  4 Ag 2.76, 4 Hf 2.90
Zn 0.5000 0.5000 0.3060  8 Ag 2.75-2.76
Zn 0.5000 0.5000 0.5000  8 Ag 2.75
Zn 0.5000 0.5000 0.6940  8 Ag 2.75-2.76
Zn 0.5000 0.5000 0.8888  4 Ag 2.76, 4 Hf 2.90
Ag 0.0000 0.0000 0.2086  8 Zn 2.76
Ag 0.0000 0.0000 0.4028  8 Zn 2.75
Ag 0.0000 0.0000 0.5972  8 Zn 2.75
Ag 0.0000 0.0000 0.7914  8 Zn 2.76

| no. | energy relative to the elements (eV/atom) | spin magnetization (μB per cell) |
| --- | --- | --- |
| 1 | -0.05 | 0.0 |
| 2 | -0.04 | 0.0 |
| 3 | 0.17 | 0.0 |
| 4 | 0.27 | 0.0 |
| 5 | 1.05 | 0.6 |
| 6 | -0.09 | 0.0 |
| 7 | 0.00 | 0.0 |
| 8 | -0.07 | 0.0 |